Entry 1:
# NpTl2GaTe4 PBE optimized geometry
# **Total energy**: -4.510 eV per atom
# **V**: 530 Å³ per cell
data_NpTl2GaTe4
_space_group_name_H-M_alt 'I -4 2 m'
_space_group_IT_number 121
_space_group_name_Hall 'I -4 2'
_cell_length_a 8.3334
_cell_length_b 8.3334
_cell_length_c 7.6276
_cell_angle_alpha 90.00
_cell_angle_beta 90.00
_cell_angle_gamma 90.00
loop_
_atom_site_label
_atom_site_type_symbol
_atom_site_fract_x
_atom_site_fract_y
_atom_site_fract_z
Np1 Np 0.0000 0.0000 0.0000
Tl1 Tl 0.0000 0.5000 0.0000
Ga1 Ga 0.0000 0.0000 0.5000
Te1 Te 0.1832 0.1832 0.2896

=====

Entry 2:
# Th2NpGa PBE optimized geometry
# **Total energy**: -7.501 eV per atom
# **Formation energy**: 0.201 eV per atom
# **E above lowest polymorph**: 0.183 eV per atom
# **V**: 332 Å³ per cell
data_Th2NpGa
_space_group_name_H-M_alt 'R -3 m'
_space_group_IT_number 166
_space_group_name_Hall '-R 3 2"'
_cell_length_a 3.5196
_cell_length_b 3.5196
_cell_length_c 30.9352
_cell_angle_alpha 90.00
_cell_angle_beta 90.00
_cell_angle_gamma 120.00
loop_
_atom_site_label
_atom_site_type_symbol
_atom_site_fract_x
_atom_site_fract_y
_atom_site_fract_z
Th1 Th 0.0000 0.0000 0.2452
Np1 Np 0.0000 0.0000 0.0000
Ga1 Ga 0.0000 0.0000 0.5000

=====

Entry 3:
# ThNp2Ga9 PBE optimized geometry
# **Total energy**: -5.335 eV per atom
# **Formation energy**: -0.290 eV per atom
# **V**: 242 Å³ per cell
data_ThNp2Ga9
_space_group_name_H-M_alt 'P 4/m m m'
_space_group_IT_number 123
_space_group_name_Hall '-P 4 2'
_cell_length_a 4.3212
_cell_length_b 4.3212
_cell_length_c 12.9730
_cell_angle_alpha 90.00
_cell_angle_beta 90.00
_cell_angle_gamma 90.00
loop_
_atom_site_label
_atom_site_type_symbol
_atom_site_fract_x
_atom_site_fract_y
_atom_site_fract_z
Th1 Th 0.0000 0.0000 0.0000
Np1 Np 0.0000 0.0000 0.3369
Ga1 Ga 0.0000 0.5000 0.1764
Ga2 Ga 0.0000 0.5000 0.5000
Ga3 Ga 0.5000 0.5000 0.0000
Ga4 Ga 0.5000 0.5000 0.3369

=====

Entry 4:
# ThNpGa4 PBE optimized geometry
# **Total energy**: -5.704 eV per atom
# **Formation energy**: -0.292 eV per atom
# **V**: 487 Å³ per cell
data_ThNpGa4
_space_group_name_H-M_alt 'F -4 3 m'
_space_group_IT_number 216
_space_group_name_Hall 'F -4 2 3'
_cell_length_a 7.8680
_cell_length_b 7.8680
_cell_length_c 7.8680
_cell_angle_alpha 90.00
_cell_angle_beta 90.00
_cell_angle_gamma 90.00
loop_
_atom_site_label
_atom_site_type_symbol
_atom_site_fract_x
_atom_site_fract_y
_atom_site_fract_z
Th1 Th 0.0000 0.0000 0.0000
Np1 Np 0.2500 0.2500 0.7500
Ga1 Ga 0.1246 0.1246 0.3754

=====

> Which value of total energy does entry 4 give?

-5.704 eV per atom